1.
# RbCrCl2

A crystal of RbCrCl2 relaxed with PBEsol (SCAN, the Alexandria database).

Cell: 5.1039 5.1039 5.1039 Å, 60.00 60.00 60.00°
Last column: nearest neighbours and their distance in Å.
Fractional coordinates of all 4 atoms:
Rb: 0.5000 0.5000 0.5000  8 Cl 3.13
Cl: 0.2500 0.2500 0.2500  4 Cr 3.13, 4 Rb 3.13
Cl: 0.7500 0.7500 0.7500  4 Cr 3.13, 4 Rb 3.13
Cr: 0.0000 0.0000 0.0000  8 Cl 3.13

Calculated values
As for the crystal system: cubic. Its space-group type is Fm-3m. The volume is 94 Å³ per cell. As for the density of states at the Fermi level: 0.7397 states/eV per atom. The value obtained for the total magnetization is 1.250 μB per atom.

2.
# RbCr3Cl

A crystal of RbCr3Cl relaxed with PBEsol (SCAN, the Alexandria database).

Cell: 5.1077 5.1077 5.1077 Å, 90.00 90.00 90.00°
Last column: nearest neighbours and their distance in Å.
Fractional coordinates of all 5 atoms:
Rb: 0.5000 0.5000 0.5000  12 Cr 3.61
Cr: 0.0000 0.0000 0.5000  2 Cl 2.55
Cr: 0.0000 0.5000 0.0000  2 Cl 2.55
Cr: 0.5000 0.0000 0.0000  2 Cl 2.55
Cl: 0.0000 0.0000 0.0000  6 Cr 2.55

Calculated values
As for the crystal system: cubic. Its space-group type is Pm-3m. The volume is 133 Å³ per cell. As for the density of states at the Fermi level: 0.5702 states/eV per atom. The value obtained for the total magnetization is 2.897 μB per atom.

3.
# RbCrS2Cl

A crystal of RbCrS2Cl relaxed with PBEsol (SCAN, the Alexandria database).

Cell: 5.6267 5.3408 5.3408 Å, 90.00 90.00 90.00°
Last column: nearest neighbours and their distance in Å.
Fractional coordinates of all 5 atoms:
Cr: 0.5000 0.5000 0.5000  4 Cl 3.78, 8 S 3.88
Cl: 0.5000 0.0000 0.0000  2 Rb 2.81
S: 0.0000 0.0000 0.5000  2 Rb 2.67
S: 0.0000 0.5000 0.0000  2 Rb 2.67
Rb: 0.0000 0.0000 0.0000  4 S 2.67, 2 Cl 2.81

Calculated values
As for the crystal system: tetragonal. Its space-group type is P4/mmm. The volume is 160 Å³ per cell. As for the density of states at the Fermi level: 1.3860 states/eV per atom. The value obtained for the total magnetization is 0.595 μB per atom.

4.
# Cr3ReCl

A crystal of Cr3ReCl relaxed with PBEsol (SCAN, the Alexandria database).

Cell: 4.7196 4.7196 4.7196 Å, 90.00 90.00 90.00°
Last column: nearest neighbours and their distance in Å.
Fractional coordinates of all 5 atoms:
Cr: 0.5000 0.0000 0.0000  2 Re 2.36
Cr: 0.0000 0.5000 0.0000  2 Re 2.36
Cr: 0.0000 0.0000 0.5000  2 Re 2.36
Re: 0.0000 0.0000 0.0000  6 Cr 2.36
Cl: 0.5000 0.5000 0.5000  12 Cr 3.34

Calculated values
As for the crystal system: cubic. Its space-group type is Pm-3m. The volume is 105 Å³ per cell. As for the density of states at the Fermi level: 0.5622 states/eV per atom. The value obtained for the total magnetization is 2.110 μB per atom.

5.
# CrReCl2

A crystal of CrReCl2 relaxed with PBEsol (SCAN, the Alexandria database).

Cell: 2.9901 2.9901 8.9789 Å, 90.00 90.00 119.22°
Last column: nearest neighbours and their distance in Å.
Fractional coordinates of all 4 atoms:
Cl: 0.5000 0.5000 0.6844  2 Cr 2.36
Cl: 0.0000 0.0000 0.0536  2 Re 2.53
Re: 0.5000 0.5000 0.2796  2 Cr 2.37, 2 Cl 2.53
Cr: 0.0000 0.0000 0.4824  2 Cl 2.36, 2 Re 2.37

Calculated values
As for the crystal system: orthorhombic. Its space-group type is Cmm2. The energy relative to the lowest polymorph listed for this composition comes out at 0 meV/atom. The volume is 70 Å³ per cell. As for the density of states at the Fermi level: 0.6614 states/eV per atom. The value obtained for the total magnetization is 0.458 μB per atom.

6.
# CrReCl2

A crystal of CrReCl2 relaxed with PBEsol (SCAN, the Alexandria database).

Cell: 2.8884 4.0229 5.5225 Å, 90.00 99.80 90.00°
Last column: nearest neighbours and their distance in Å.
Fractional coordinates of all 4 atoms:
Cl: 0.1193 0.0000 0.2497  2 Re 2.43, 2 Cr 2.58
Cl: 0.8807 0.0000 0.7503  2 Re 2.43, 2 Cr 2.58
Cr: 0.5000 0.5000 0.5000  4 Cl 2.58
Re: 0.0000 0.5000 0.0000  4 Cl 2.43

Calculated values
As for the crystal system: monoclinic. Its space-group type is P2/m. The energy relative to the lowest polymorph listed for this composition comes out at 368 meV/atom. The volume is 63 Å³ per cell. As for the density of states at the Fermi level: 0.6588 states/eV per atom. The value obtained for the total magnetization is 1.100 μB per atom.

7.
# CrRe3Cl

A crystal of CrRe3Cl relaxed with PBEsol (SCAN, the Alexandria database).

Cell: 4.2842 4.2842 4.2842 Å, 90.00 90.00 90.00°
Last column: nearest neighbours and their distance in Å.
Fractional coordinates of all 5 atoms:
Re: 0.5000 0.0000 0.0000  2 Cl 2.14
Re: 0.0000 0.0000 0.5000  2 Cl 2.14
Re: 0.0000 0.5000 0.0000  2 Cl 2.14
Cl: 0.0000 0.0000 0.0000  6 Re 2.14
Cr: 0.5000 0.5000 0.5000  12 Re 3.03

Calculated values
As for the crystal system: cubic. Its space-group type is Pm-3m. The volume is 79 Å³ per cell. As for the density of states at the Fermi level: 0.8042 states/eV per atom. The value obtained for the total magnetization is 0.544 μB per atom.

8.
# CrReCl2

A crystal of CrReCl2 relaxed with PBEsol (SCAN, the Alexandria database).

Cell: 2.7121 2.7121 9.1697 Å, 90.00 90.00 90.00°
Last column: nearest neighbours and their distance in Å.
Fractional coordinates of all 4 atoms:
Cr: 0.5000 0.5000 0.0000  8 Cl 2.40
Cl: 0.0000 0.0000 0.8420  4 Cr 2.40
Cl: 0.0000 0.0000 0.1580  4 Cr 2.40
Re: 0.5000 0.5000 0.5000  4 Re 2.71

Calculated values
As for the crystal system: tetragonal. Its space-group type is P4/mmm. The energy relative to the lowest polymorph listed for this composition comes out at 792 meV/atom. The volume is 67 Å³ per cell. As for the density of states at the Fermi level: 0.7065 states/eV per atom. The value obtained for the total magnetization is 0.383 μB per atom.

9.
# CrReSCl2

A crystal of CrReSCl2 relaxed with PBEsol (SCAN, the Alexandria database).

Cell: 4.5853 4.5853 4.8595 Å, 90.00 90.00 90.00°
Last column: nearest neighbours and their distance in Å.
Fractional coordinates of all 5 atoms:
Cr: 0.0000 0.0000 0.0000  4 Cl 2.29, 2 S 2.43
Cl: 0.0000 0.5000 0.0000  2 Cr 2.29
Cl: 0.5000 0.0000 0.0000  2 Cr 2.29
S: 0.0000 0.0000 0.5000  2 Cr 2.43
Re: 0.5000 0.5000 0.5000  4 S 3.24, 8 Cl 3.34

Calculated values
As for the crystal system: tetragonal. Its space-group type is P4/mmm. The volume is 102 Å³ per cell. As for the density of states at the Fermi level: 0.2414 states/eV per atom. The value obtained for the total magnetization is 1.800 μB per atom.

10.
# CrReS2Cl

A crystal of CrReS2Cl relaxed with PBEsol (SCAN, the Alexandria database).

Cell: 4.4476 4.6092 4.6092 Å, 90.00 90.00 90.00°
Last column: nearest neighbours and their distance in Å.
Fractional coordinates of all 5 atoms:
Cr: 0.0000 0.0000 0.0000  2 Cl 2.22, 4 S 2.30
Cl: 0.5000 0.0000 0.0000  2 Cr 2.22
S: 0.0000 0.0000 0.5000  2 Cr 2.30
S: 0.0000 0.5000 0.0000  2 Cr 2.30
Re: 0.5000 0.5000 0.5000  8 S 3.20, 4 Cl 3.26

Calculated values
As for the crystal system: tetragonal. Its space-group type is P4/mmm. The volume is 94 Å³ per cell. As for the density of states at the Fermi level: 0.4366 states/eV per atom. The value obtained for the total magnetization is 1.600 μB per atom.

11.
# CrRhCl

A crystal of CrRhCl relaxed with PBEsol (SCAN, the Alexandria database).

Cell: 3.9729 3.9729 3.9729 Å, 60.00 60.00 60.00°
Last column: nearest neighbours and their distance in Å.
Fractional coordinates of all 3 atoms:
Cr: 0.2500 0.2500 0.2500  4 Cl 2.43, 4 Rh 2.43
Cl: 0.5000 0.5000 0.5000  4 Cr 2.43
Rh: 0.0000 0.0000 0.0000  4 Cr 2.43

Calculated values
As for the crystal system: cubic. Its space-group type is F-43m. The volume is 44 Å³ per cell. As for the density of states at the Fermi level: 0.4268 states/eV per atom. The value obtained for the total magnetization is 0.667 μB per atom.

12.
# CrRhSCl2

A crystal of CrRhSCl2 relaxed with PBEsol (SCAN, the Alexandria database).

Cell: 4.5297 4.5297 4.6455 Å, 90.00 90.00 90.00°
Last column: nearest neighbours and their distance in Å.
Fractional coordinates of all 5 atoms:
Cl: 0.0000 0.5000 0.0000  2 Cr 2.26
Cl: 0.5000 0.0000 0.0000  2 Cr 2.26
S: 0.0000 0.0000 0.5000  2 Cr 2.32
Rh: 0.5000 0.5000 0.5000  4 S 3.20, 8 Cl 3.24
Cr: 0.0000 0.0000 0.0000  4 Cl 2.26, 2 S 2.32

Calculated values
As for the crystal system: tetragonal. Its space-group type is P4/mmm. The volume is 95 Å³ per cell. As for the density of states at the Fermi level: 0.5810 states/eV per atom. The value obtained for the total magnetization is 0.989 μB per atom.

| no. | E_form (uncorrected) (meV/atom) |
| --- | --- |
| 1 | -1060 |
| 2 | 848 |
| 3 | 838 |
| 4 | 1023 |
| 5 | 123 |
| 6 | 491 |
| 7 | 1755 |
| 8 | 915 |
| 9 | 476 |
| 10 | 677 |
| 11 | 473 |
| 12 | -95 |